A relaxed Zr2BeFe crystal. Source: the Alexandria database, functional PBE.

a b c (Å): 3.2079 3.2079 6.2344
angles (deg): 90.00 90.00 90.00
Each line ends with the local moment (μB).
Fractional positions:
1 Zr 0.0000 0.0000 0.9990  -0.15
2 Zr 0.0000 0.0000 0.5010  -0.15
3 Fe 0.5000 0.5000 0.7500  0.79
4 Be 0.5000 0.5000 0.2500  -0.01

Results
V	64.2	Å³/cell
crystal system	tetragonal
formation energy from the elements	-0.14	eV/atom
symmetry	P4/mmm
final energy	-0.27406	Ha/atom
N(E_F)	2.1	states/eV/f.u.

A relaxed Zr2BeFe crystal. Source: the Alexandria database, functional PBE.

a b c (Å): 3.1310 3.1310 6.5600
angles (deg): 90.00 90.00 90.00
Each line ends with the local moment (μB).
Fractional positions:
1 Zr 0.5000 0.5000 0.3012  -0.04
2 Zr 0.0000 0.0000 0.9582  -0.05
3 Fe 0.5000 0.5000 0.6827  0.81
4 Be 0.0000 0.0000 0.5580  -0.04

Results
V	64.3	Å³/cell
crystal system	tetragonal
formation energy from the elements	0.01	eV/atom
symmetry	P4mm
final energy	-0.26876	Ha/atom
N(E_F)	3.8	states/eV/f.u.

A relaxed ZrBe2Fe crystal. Source: the Alexandria database, functional PBE.

a b c (Å): 4.1421 4.1421 4.1421
angles (deg): 120.02 120.02 89.96
Fractional positions:
1 Fe 0.5000 0.5000 0.0000
2 Be 0.2500 0.7500 0.5000
3 Be 0.0000 0.0000 0.0000
4 Zr 0.7500 0.2500 0.5000

Results
V	50.2	Å³/cell
crystal system	cubic
formation energy from the elements	0.10	eV/atom
symmetry	F-43m
final energy	-0.22091	Ha/atom
N(E_F)	3.1	states/eV/f.u.